(1)
First-principles (PBE-GGA) data for a relaxed structure of PmEr2Tm6, as listed in Alexandria.

calculated density = 8.86 g/cm3
offset from the most stable computed form = 0.00 eV/f.u.
space group = C2/m (12)
energy = -4.4269 eV/atom

```
9
Lattice="5.7678 -1.7382 0.0000 5.7678 1.7382 0.0000 -3.2555 0.0000 13.9557" Properties=species:S:1:pos:R:3 pbc="T T T"
Pm 0.0000 0.0000 0.0000
Er 2.0041 0.0000 10.8319
Er 6.2760 0.0000 3.1238
Tm -0.0372 0.0000 6.2057
Tm 3.1267 0.0000 1.4696
Tm 3.0583 0.0000 4.8193
Tm 5.2219 0.0000 9.1364
Tm 5.1534 0.0000 12.4860
Tm 8.3173 0.0000 7.7499
```



(2)
First-principles (PBE-GGA) data for a relaxed structure of PmEr4Tm5, as listed in Alexandria.

calculated density = 8.67 g/cm3
offset from the most stable computed form = 2.86 eV/f.u.
space group = I4 (79)
energy = -4.2254 eV/atom

```
10
Lattice="-5.0393 5.0393 3.1287 5.0393 -5.0393 3.1287 5.0393 5.0393 -3.1287" Properties=species:S:1:pos:R:3 pbc="T T T"
Pm 0.0000 0.0000 0.0000
Er 6.5632 -0.5146 1.4314
Er 3.5153 0.5146 1.4314
Er -0.5146 3.5153 1.4314
Er 0.5146 6.5632 1.4314
Tm 0.0000 0.0000 2.8549
Tm 6.4767 2.6798 1.4114
Tm 2.6798 3.6018 1.4114
Tm 2.3595 1.4374 4.5400
Tm -1.4374 2.3595 4.5400
```



(3)
First-principles (PBE-GGA) data for a relaxed structure of PmEr6Tm12, as listed in Alexandria.

calculated density = 8.86 g/cm3
offset from the most stable computed form = 0.00 eV/f.u.
space group = R-3 (148)
energy = -4.3505 eV/atom

```
19
Lattice="5.8562 3.3811 5.0129 -5.8562 3.3811 5.0129 0.0000 -6.7621 5.0129" Properties=species:S:1:pos:R:3 pbc="T T T"
Pm 0.0000 0.0000 0.0000
Er -3.4775 0.8923 5.1571
Er 0.9660 -3.4577 5.1571
Er -2.5115 -2.5654 9.8816
Er 2.5115 2.5654 5.1571
Er -0.9660 3.4577 9.8816
Er 3.4775 -0.8923 9.8816
Tm -1.2203 -1.6430 2.8866
Tm -0.8127 1.8783 2.8866
Tm -1.3235 -1.5038 6.2483
Tm 2.0331 -0.2353 2.8866
Tm -1.9641 0.3942 8.7903
Tm -0.6406 1.8981 6.2483
Tm 0.6406 -1.8981 8.7903
Tm 1.9641 -0.3942 6.2483
Tm -2.0330 0.2353 12.1521
Tm 1.3235 1.5038 8.7903
Tm 0.8127 -1.8783 12.1521
Tm 1.2203 1.6430 12.1521
```



(4)
First-principles (PBE-GGA) data for a relaxed structure of Pm6ErTm, as listed in Alexandria.

calculated density = 7.52 g/cm3
space group = C2/m (12)
energy = -4.6749 eV/atom

```
8
Lattice="3.6351 -5.0709 0.0000 3.6351 5.0709 0.0000 -3.6142 0.0000 7.2293" Properties=species:S:1:pos:R:3 pbc="T T T"
Pm 0.0175 2.5355 5.4016
Pm 1.8175 0.0000 0.0042
Pm 3.6385 2.5355 1.8276
Pm 0.0175 -2.5355 5.4016
Pm 1.8385 0.0000 7.2251
Pm 3.6385 -2.5355 1.8276
Er -1.8071 0.0000 3.6146
Tm 1.8280 0.0000 3.6146
```



no.,formation enthalpy at 0 K (eV per atom),spin magnetization (μB/cell)
1,0.096,0.00
2,0.311,0.00
3,0.165,0.02
4,0.017,0.00